Entry 1:
Here is a relaxed BaCoS2 crystal from the Alexandria database. Energies are from PBE.

Values from the calculation:
N(E_F), states/eV per cell: 5.733
Uncorrected energy, eV/atom: -5.45
M_tot, Bohr magnetons per cell: 0.0

Unit cell a=4.3791 b=4.3791 c=8.9716 alpha=90.00 beta=90.00 gamma=90.00
Sites, in units of the cell vectors:
Ba 0.7500 0.7500 0.2993
Ba 0.2500 0.2500 0.7007
Co 0.7500 0.7500 0.9126
Co 0.2500 0.2500 0.0874
S 0.7500 0.2500 0.0000
S 0.2500 0.2500 0.3399
S 0.7500 0.7500 0.6601
S 0.2500 0.7500 0.0000


Entry 2:
Here is a relaxed LiTc2Ge2 crystal from the Alexandria database. Energies are from PBE.

Values from the calculation:
N(E_F), states/eV per cell: 4.287
Uncorrected energy, eV/atom: -6.46
ΔE_f, eV/atom: -0.082
M_tot, Bohr magnetons per cell: 0.0

Unit cell a=3.1509 b=4.2188 c=10.8178 alpha=90.00 beta=98.34 gamma=90.00
Sites, in units of the cell vectors:
Ge 0.4572 0.7500 0.9140
Ge 0.3425 0.2500 0.6842
Ge 0.5428 0.2500 0.0860
Ge 0.6575 0.7500 0.3158
Li 0.8539 0.7500 0.7073
Li 0.1461 0.2500 0.2927
Tc 0.0574 0.7500 0.1150
Tc 0.2543 0.7500 0.5087
Tc 0.9426 0.2500 0.8850
Tc 0.7457 0.2500 0.4913


Entry 3:
Here is a relaxed MoC crystal from the Alexandria database. Energies are from PBE.

Values from the calculation:
N(E_F), states/eV per cell: 1.702
Uncorrected energy, eV/atom: -8.82
ΔE_f, eV/atom: 1.208
M_tot, Bohr magnetons per cell: 0.0

Unit cell a=5.3578 b=5.3578 c=5.3578 alpha=34.15 beta=34.15 gamma=34.15
Sites, in units of the cell vectors:
C 0.6713 0.6713 0.6713
C 0.3287 0.3287 0.3287
Mo 0.0911 0.0911 0.0911
Mo 0.9089 0.9089 0.9089


Entry 4:
Here is a relaxed MnBeBi3 crystal from the Alexandria database. Energies are from PBE.

Values from the calculation:
N(E_F), states/eV per cell: 2.763
Uncorrected energy, eV/atom: -3.98
ΔE_f, eV/atom: 0.927
M_tot, Bohr magnetons per cell: 0.0

Unit cell a=5.1001 b=5.1001 c=5.1001 alpha=90.00 beta=90.00 gamma=90.00
Sites, in units of the cell vectors:
Mn 0.0000 0.0000 0.0000
Be 0.5000 0.5000 0.5000
Bi 0.0000 0.0000 0.5000
Bi 0.5000 0.0000 0.0000
Bi 0.0000 0.5000 0.0000


Entry 5:
Here is a relaxed Pm4TmSc crystal from the Alexandria database. Energies are from PBE.

Values from the calculation:
N(E_F), states/eV per cell: 9.125
Uncorrected energy, eV/atom: -4.93
ΔE_f, eV/atom: 0.040
M_tot, Bohr magnetons per cell: 0.0

Unit cell a=7.9358 b=7.9358 c=5.0514 alpha=89.99 beta=89.99 gamma=37.11
Sites, in units of the cell vectors:
Pm 0.6629 0.6629 0.0002
Pm 0.8370 0.8370 0.4999
Pm 0.3371 0.3371 0.9998
Pm 0.1630 0.1630 0.5001
Tm 0.5000 0.5000 0.5000
Sc 0.0000 0.0000 0.0000


Entry 6:
Here is a relaxed AlFe2MoRh crystal from the Alexandria database. Energies are from PBE.

Values from the calculation:
N(E_F), states/eV per cell: 10.040
Uncorrected energy, eV/atom: -6.19
ΔE_f, eV/atom: 1.579
M_tot, Bohr magnetons per cell: 0.2

Unit cell a=4.4015 b=4.6867 c=4.4015 alpha=90.00 beta=90.00 gamma=90.00
Sites, in units of the cell vectors:
Mo 0.0000 0.5000 0.0000
Rh 0.0000 0.0000 0.0000
Fe 0.5000 0.0000 0.0000
Fe 0.0000 0.0000 0.5000
Al 0.5000 0.5000 0.5000


Entry 7:
Here is a relaxed VCdH crystal from the Alexandria database. Energies are from PBE.

Values from the calculation:
N(E_F), states/eV per cell: 1.494
Uncorrected energy, eV/atom: -4.40
M_tot, Bohr magnetons per cell: 0.0

Unit cell a=2.9875 b=2.9875 c=4.8288 alpha=90.00 beta=90.00 gamma=120.00
Sites, in units of the cell vectors:
Cd 0.6667 0.3333 0.0438
H 0.0000 0.0000 0.5483
V 0.3333 0.6667 0.5430


Entry 8:
Here is a relaxed LiHgCl2 crystal from the Alexandria database. Energies are from PBE.

Values from the calculation:
N(E_F), states/eV per cell: 3.756
Uncorrected energy, eV/atom: -2.38
M_tot, Bohr magnetons per cell: 0.0

Unit cell a=7.3232 b=7.3232 c=7.3232 alpha=30.34 beta=30.34 gamma=30.34
Sites, in units of the cell vectors:
Cl 0.0178 0.0178 0.0178
Cl 0.4822 0.4822 0.4822
Hg 0.2500 0.2500 0.2500
Li 0.7500 0.7500 0.7500